A plane-wave DFT calculation with PBE+U was carried out for a geometry-optimized CaTbWO6 structure.

Values from the calculation:
VASP energy: -7.340 eV/atom
crystal system: trigonal
V: 14.76 A^3/atom
space-group type: P312

Cell: 4.8321 5.6350 5.6350 Å, 120.00 90.00 90.00°
Last column: nearest neighbours and their distance in Å.
Sites, in units of the cell vectors:
W (0.5000, 0.0000, 0.0000)  6 O 1.96
Ca (0.0000, 0.3333, 0.6667)  6 O 2.42
Tb (0.5000, 0.6667, 0.3333)  6 O 2.28
O (0.7222, 0.2904, 0.0003)  1 W 1.96
O (0.2778, 0.9997, 0.7096)  1 W 1.96
O (0.7222, 0.9997, 0.2901)  1 W 1.96
O (0.2778, 0.2904, 0.2901)  1 W 1.96
O (0.2778, 0.7099, 0.0003)  1 W 1.96
O (0.7222, 0.7099, 0.7096)  1 W 1.96